## BaYPbN2 (PBE)

Data for BaYPbN2 after structural relaxation.

```
BaYPbN2
1.0
4.751 0.000 0.000
0.000 4.751 0.000
0.000 0.000 5.847
Ba Y Pb N
1 1 1 2
Cartesian
0.000 0.000 0.000
2.375 2.375 2.924
2.375 2.375 0.000
0.000 2.375 2.924
2.375 0.000 2.924
```

Summary:
uncorrected formation energy: 0.423 eV/atom
electronic total energy: -26.629 eV per cell